{
  "formula": "SrPRh2",
  "functional": "SCAN",
  "state": "PBEsol geometry",
  "formation_energy_ev_per_atom": -0.76,
  "lattice_angstrom": [[-2.4137, -1.8321, 2.5629], [2.0552, -3.3627, -0.4682], [3.0545, 1.3336, 3.8300]],
  "species": ["P", "Sr", "Rh", "Rh"],
  "frac_coords": [[0.5000, 0.5000, 0.8496], [0.0000, 0.0000, 0.5421], [0.5000, 0.0000, 0.0534], [0.0000, 0.5000, 0.0534]]
}

{
  "formula": "SrP2Rh",
  "functional": "SCAN",
  "state": "PBEsol geometry",
  "polymorph_energy_mev_per_atom": 0.0,
  "formation_energy_ev_per_atom": -0.93,
  "lattice_angstrom": [[-3.8359, 0.0826, 0.6504], [-0.6480, -2.8416, -3.4611], [0.4204, -3.6731, 2.9458]],
  "species": ["Rh", "P", "Sr", "P"],
  "frac_coords": [[0.5000, 0.0000, 0.5000], [0.0000, 0.0009, 0.2288], [0.5000, 0.5000, 0.0000], [0.0000, 0.9991, 0.7712]]
}

{
  "formula": "SrP4Rh6",
  "functional": "SCAN",
  "state": "PBEsol geometry",
  "formation_energy_ev_per_atom": -0.87,
  "lattice_angstrom": [[3.6980, 0.0000, 0.0000], [0.0000, 6.9599, 0.0000], [0.0000, -3.4800, 6.0275]],
  "species": ["Rh", "Rh", "P", "P", "Rh", "Sr", "P", "Rh", "Rh", "Rh", "P"],
  "frac_coords": [[0.5000, 0.7358, 0.8679], [0.5000, 0.1321, 0.8679], [0.0000, 0.0000, 0.0000], [0.5000, 0.5254, 0.4746], [0.0000, 0.7995, 0.2005], [0.0000, 0.3333, 0.6667], [0.5000, 0.5254, 0.0509], [0.0000, 0.7995, 0.5990], [0.0000, 0.4010, 0.2005], [0.5000, 0.1321, 0.2642], [0.5000, 0.9491, 0.4746]]
}